Density functional theory data (PBE) for an optimized crystal structure of EuGdTlBi.

The structure in POSCAR format:
```
EuGdTlBi
1.0
-0.9351 0.3021 5.4884
-0.4792 -4.6704 3.0076
4.0166 -1.4252 3.5950
Eu Tl Gd Bi
1 1 1 1
Cartesian
0.6506 -1.4484 3.0227 Eu
1.3011 -2.8968 6.0455 Tl
1.9517 -4.3451 9.0682 Gd
0.0000 0.0000 0.0000 Bi
```

Fermi-level density of states in states/eV per cell: 4.007
Raw total energy in eV/atom: -8.164

***

Density functional theory data (PBE) for an optimized crystal structure of RbLa2As2.

The structure in POSCAR format:
```
RbLa2As2
1.0
-2.8040 3.7882 -2.4302
-2.7707 -3.7093 -2.5853
-7.8183 -0.0985 3.0820
As Rb La
2 1 2
Cartesian
-4.3457 -0.0033 -0.7762 As
-9.0472 -0.0163 -1.1572 As
0.0000 0.0000 0.0000 Rb
-6.7048 1.8646 -0.9279 La
-6.6882 -1.8842 -1.0055 La
```

Offset from the most stable computed form in eV per formula unit: 0.45
Fermi-level density of states in states/eV per cell: 3.362

***

Density functional theory data (PBE) for an optimized crystal structure of Tb3MgTe4.

The structure in POSCAR format:
```
Tb3MgTe4
1.0
4.2610 0.0000 0.0000
2.1305 3.6901 0.0000
2.1305 1.2300 14.7802
Tb Mg Te
3 1 4
Cartesian
6.3914 3.6901 11.0466 Tb
4.2610 2.4601 7.3901 Tb
2.1305 1.2300 3.7336 Tb
0.0000 0.0000 0.0000 Mg
4.2610 2.4601 1.7472 Te
6.3914 3.6901 5.5421 Te
4.2610 2.4601 13.0330 Te
2.1305 1.2300 9.2381 Te
```

Fermi-level density of states in states/eV per cell: 4.133
E_form (uncorrected) in eV per atom: -1.176

***

Density functional theory data (PBE) for an optimized crystal structure of LiAgRh2.

The structure in POSCAR format:
```
LiAgRh2
1.0
2.7720 0.0000 0.0000
0.0000 3.8744 0.0000
0.0000 0.0000 5.5737
Ag Li Rh
1 1 2
Cartesian
0.0000 0.0000 2.8976 Ag
1.3860 1.9372 4.1616 Li
0.0000 0.0000 0.1282 Rh
1.3860 1.9372 1.1732 Rh
```

Offset from the most stable computed form in eV per formula unit: 0.00
Fermi-level density of states in states/eV per cell: 4.132

***

Density functional theory data (PBE) for an optimized crystal structure of Cs2Rb4BeSb2.

The structure in POSCAR format:
```
Cs2Rb4BeSb2
1.0
6.8554 1.0289 0.7000
2.8143 10.2514 1.5409
2.8143 5.1973 8.9696
Cs Rb Be Sb
2 4 1 2
Cartesian
4.4470 10.5817 7.1992 Cs
8.0371 5.8959 4.0113 Cs
4.3670 8.0203 2.3404 Rb
8.1170 11.3558 4.6098 Rb
8.1170 8.4574 8.8700 Rb
4.3670 5.1218 6.6007 Rb
3.4277 0.5145 0.3500 Be
1.7568 1.8062 1.2289 Sb
10.7272 14.6714 9.9816 Sb
```

Fermi-level density of states in states/eV per cell: 3.838
E_form (uncorrected) in eV per atom: -0.167

***

Density functional theory data (PBE) for an optimized crystal structure of CaTc2As.

The structure in POSCAR format:
```
CaTc2As
1.0
-1.9440 3.5504 0.9996
-2.8524 -1.5410 -0.0739
0.0606 -1.5507 5.6259
As Ca Tc
1 1 2
Cartesian
-1.0676 -1.3098 2.5761 As
-3.3022 -0.6122 4.4477 Ca
-2.6676 -1.6523 0.6811 Tc
-1.9466 0.9462 1.5488 Tc
```

Fermi-level density of states in states/eV per cell: 3.645
Raw total energy in eV/atom: -6.810

***

Density functional theory data (PBE) for an optimized crystal structure of Ce5Ga2Ge5.

The structure in POSCAR format:
```
Ce5Ga2Ge5
1.0
4.1736 0.0000 0.0000
-2.0868 7.0372 -0.8425
0.0000 -4.6512 10.3600
Ce Ga Ge
5 2 5
Cartesian
2.0868 -2.3256 5.1800 Ce
2.0868 2.1178 -0.0129 Ce
2.0868 1.1359 2.7221 Ce
0.0000 1.2502 6.7954 Ce
0.0000 0.2683 9.5304 Ce
0.0000 -2.6402 7.9860 Ga
2.0868 5.0262 1.5315 Ga
0.0000 -0.3678 4.2854 Ge
2.0868 -0.9170 7.7544 Ge
0.0000 3.3030 1.7631 Ge
2.0868 2.7538 5.2321 Ge
0.0000 0.0000 0.0000 Ge
```

Offset from the most stable computed form in eV per formula unit: 1.28
Fermi-level density of states in states/eV per cell: 18.700

***

Density functional theory data (PBE) for an optimized crystal structure of Sr3TmU3N8.

The structure in POSCAR format:
```
Sr3TmU3N8
1.0
7.0008 0.0000 0.0000
-3.5004 6.0632 -0.0202
0.0000 -4.0225 6.0147
Sr Tm U N
3 1 3 8
Cartesian
0.0000 0.0000 0.0000 Sr
-1.7502 3.0316 -0.0101 Sr
1.7502 3.0316 -0.0101 Sr
0.0000 -2.0112 3.0073 Tm
3.5004 -2.0112 3.0073 U
1.7502 1.0204 2.9973 U
-1.7502 1.0204 2.9973 U
0.0000 2.0262 1.7772 N
3.5004 0.0145 4.2173 N
3.5004 1.9453 1.9270 N
0.0000 0.0955 4.0675 N
5.1794 -0.9636 1.9365 N
-1.6790 3.0043 4.0580 N
1.8214 -0.9636 1.9365 N
1.6790 3.0043 4.0580 N
```

Fermi-level density of states in states/eV per cell: 9.102
E_form (uncorrected) in eV per atom: -1.202